Entry 1:
{"formula": "LiMgGeRu", "functional": "PBE", "state": "relaxed", "dft_energy_ev_per_atom": -4.64, "rho_g_cm3": 5.4, "formation_energy_mev_per_atom": -294, "lattice_angstrom": [[3.168, 0.000, 0.000], [0.000, 3.168, 0.000], [0.000, 0.000, 6.265]], "species": ["Li", "Mg", "Ge", "Ru"], "fractional_positions": [[0.000, 0.000, 0.000], [0.500, 0.500, 0.304], [0.500, 0.500, 0.761], [0.000, 0.000, 0.565]]}

***

Entry 2:
{"formula": "Li2MgGeS4", "functional": "PBE", "state": "relaxed", "dft_energy_ev_per_atom": -4.36, "rho_g_cm3": 2.3, "raw_formation_energy_ev_per_atom": -1.044, "lattice_angstrom": [[7.707, 0.000, 0.000], [0.000, 6.931, 0.000], [0.000, 0.000, 6.371]], "species": ["Li", "Li", "Li", "Li", "Mg", "Mg", "Ge", "Ge", "S", "S", "S", "S", "S", "S", "S", "S"], "fractional_positions": [[0.246, 0.169, 0.000], [0.254, 0.831, 0.500], [0.746, 0.831, 0.500], [0.754, 0.169, 0.000], [0.000, 0.353, 0.497], [0.500, 0.647, 0.997], [0.000, 0.671, 0.001], [0.500, 0.329, 0.501], [0.000, 0.366, 0.887], [0.000, 0.680, 0.353], [0.236, 0.829, 0.885], [0.264, 0.171, 0.385], [0.500, 0.320, 0.853], [0.500, 0.634, 0.387], [0.736, 0.171, 0.385], [0.764, 0.829, 0.885]]}

***

Entry 3:
{"formula": "LiMg2GeS4", "functional": "PBE", "state": "relaxed", "dft_energy_ev_per_atom": -4.27, "rho_g_cm3": 2.3, "raw_formation_energy_ev_per_atom": -0.988, "lattice_angstrom": [[8.097, 0.000, 0.000], [0.000, 6.955, 0.000], [0.000, 0.000, 6.437]], "species": ["Li", "Li", "Mg", "Mg", "Mg", "Mg", "Ge", "Ge", "S", "S", "S", "S", "S", "S", "S", "S"], "fractional_positions": [[0.000, 0.159, 0.000], [0.500, 0.841, 0.500], [0.248, 0.330, 0.500], [0.252, 0.670, 0.000], [0.748, 0.670, 0.000], [0.752, 0.330, 0.500], [0.000, 0.825, 0.499], [0.500, 0.175, 0.999], [0.000, 0.155, 0.380], [0.000, 0.829, 0.873], [0.248, 0.331, 0.884], [0.252, 0.669, 0.384], [0.500, 0.171, 0.373], [0.500, 0.845, 0.880], [0.748, 0.669, 0.384], [0.752, 0.331, 0.884]]}

***

Entry 4:
{"formula": "Li2MgGeSe", "functional": "PBE", "state": "relaxed", "dft_energy_ev_per_atom": -2.78, "rho_g_cm3": 2.8, "raw_formation_energy_ev_per_atom": -0.070, "lattice_angstrom": [[4.789, 0.000, 0.000], [0.000, 4.789, 0.000], [0.000, 0.000, 4.993]], "species": ["Li", "Li", "Mg", "Ge", "Se"], "fractional_positions": [[0.000, 0.500, 0.000], [0.500, 0.000, 0.000], [0.000, 0.000, 0.500], [0.000, 0.000, 0.000], [0.500, 0.500, 0.500]]}

***

Entry 5:
{"formula": "Li2MgGeSe4", "functional": "PBE", "state": "relaxed", "dft_energy_ev_per_atom": -3.91, "rho_g_cm3": 3.6, "raw_formation_energy_ev_per_atom": -0.916, "lattice_angstrom": [[8.134, 0.000, 0.000], [0.000, 7.279, 0.000], [0.000, 0.000, 6.740]], "species": ["Li", "Li", "Li", "Li", "Mg", "Mg", "Ge", "Ge", "Se", "Se", "Se", "Se", "Se", "Se", "Se", "Se"], "fractional_positions": [[0.245, 0.172, 0.000], [0.255, 0.828, 0.500], [0.745, 0.828, 0.500], [0.755, 0.172, 0.000], [0.000, 0.352, 0.493], [0.500, 0.648, 0.993], [0.000, 0.670, 0.999], [0.500, 0.330, 0.499], [0.000, 0.361, 0.881], [0.000, 0.683, 0.354], [0.237, 0.833, 0.881], [0.263, 0.167, 0.381], [0.500, 0.317, 0.854], [0.500, 0.639, 0.381], [0.737, 0.167, 0.381], [0.763, 0.833, 0.881]]}

***

Entry 6:
{"formula": "LiMg2GeSe4", "functional": "PBE", "state": "relaxed", "dft_energy_ev_per_atom": -3.84, "rho_g_cm3": 3.5, "raw_formation_energy_ev_per_atom": -0.888, "lattice_angstrom": [[8.489, 0.000, 0.000], [0.000, 7.306, 0.000], [0.000, 0.000, 6.823]], "species": ["Li", "Li", "Mg", "Mg", "Mg", "Mg", "Ge", "Ge", "Se", "Se", "Se", "Se", "Se", "Se", "Se", "Se"], "fractional_positions": [[0.000, 0.158, 0.000], [0.500, 0.842, 0.500], [0.248, 0.330, 0.500], [0.252, 0.670, 0.000], [0.748, 0.670, 0.000], [0.752, 0.330, 0.500], [0.000, 0.824, 0.500], [0.500, 0.176, 0.000], [0.000, 0.155, 0.376], [0.000, 0.830, 0.874], [0.245, 0.331, 0.882], [0.255, 0.669, 0.382], [0.500, 0.170, 0.374], [0.500, 0.845, 0.876], [0.745, 0.669, 0.382], [0.755, 0.331, 0.882]]}

***

Entry 7:
{"formula": "LiMgSiGe", "functional": "PBE", "state": "relaxed", "dft_energy_ev_per_atom": -3.41, "rho_g_cm3": 3.2, "raw_formation_energy_ev_per_atom": -0.024, "lattice_angstrom": [[0.000, 3.256, 3.256], [3.256, 0.000, 3.256], [3.256, 3.256, 0.000]], "species": ["Li", "Mg", "Si", "Ge"], "fractional_positions": [[0.000, 0.000, 0.000], [0.500, 0.500, 0.500], [0.750, 0.750, 0.750], [0.250, 0.250, 0.250]]}

***

Entry 8:
{"formula": "Li3Sm2MgGe4", "functional": "PBE", "state": "relaxed", "dft_energy_ev_per_atom": -4.07, "rho_g_cm3": 5.5, "formation_energy_mev_per_atom": -545, "lattice_angstrom": [[4.144, 0.000, 0.000], [0.000, 4.144, 0.000], [0.000, 0.000, 11.206]], "species": ["Li", "Li", "Li", "Sm", "Sm", "Mg", "Ge", "Ge", "Ge", "Ge"], "fractional_positions": [[0.000, 0.000, 0.000], [0.000, 0.500, 0.629], [0.500, 0.000, 0.371], [0.000, 0.500, 0.266], [0.500, 0.000, 0.734], [0.500, 0.500, 0.000], [0.000, 0.000, 0.500], [0.000, 0.500, 0.845], [0.500, 0.000, 0.155], [0.500, 0.500, 0.500]]}

***

Entry 9:
{"formula": "SrLiMgGe2", "functional": "PBE", "state": "relaxed", "dft_energy_ev_per_atom": -3.36, "rho_g_cm3": 3.9, "formation_energy_mev_per_atom": -479, "lattice_angstrom": [[-2.226, 2.226, 5.726], [2.226, -2.226, 5.726], [2.226, 2.226, -5.726]], "species": ["Sr", "Li", "Mg", "Ge", "Ge"], "fractional_positions": [[0.000, 0.000, 0.000], [0.250, 0.750, 0.500], [0.750, 0.250, 0.500], [0.390, 0.390, 0.000], [0.610, 0.610, 0.000]]}

***

Entry 10:
{"formula": "SrLiMgGe", "functional": "PBE", "state": "relaxed", "dft_energy_ev_per_atom": -2.68, "rho_g_cm3": 3.3, "formation_energy_mev_per_atom": -231, "lattice_angstrom": [[0.000, 3.633, 3.633], [3.633, 0.000, 3.633], [3.633, 3.633, 0.000]], "species": ["Sr", "Li", "Mg", "Ge"], "fractional_positions": [[0.000, 0.000, 0.000], [0.250, 0.250, 0.250], [0.500, 0.500, 0.500], [0.750, 0.750, 0.750]]}

***

Entry 11:
{"formula": "Sr2LiMg3Ge4", "functional": "PBE", "state": "relaxed", "dft_energy_ev_per_atom": -3.24, "rho_g_cm3": 3.9, "formation_energy_mev_per_atom": -391, "lattice_angstrom": [[4.514, 0.000, 0.000], [0.000, 4.514, 0.000], [0.000, 0.000, 11.536]], "species": ["Sr", "Sr", "Li", "Mg", "Mg", "Mg", "Ge", "Ge", "Ge", "Ge"], "fractional_positions": [[0.000, 0.500, 0.245], [0.500, 0.000, 0.755], [0.500, 0.500, 0.000], [0.000, 0.000, 0.000], [0.000, 0.500, 0.637], [0.500, 0.000, 0.363], [0.000, 0.000, 0.500], [0.000, 0.500, 0.865], [0.500, 0.000, 0.135], [0.500, 0.500, 0.500]]}

***

Entry 12:
{"formula": "Li2TbMgGe2", "functional": "PBE", "state": "relaxed", "dft_energy_ev_per_atom": -3.74, "rho_g_cm3": 5.1, "formation_energy_mev_per_atom": -521, "lattice_angstrom": [[4.388, 0.000, 0.000], [-2.194, 3.800, 0.000], [0.000, 0.000, 6.725]], "species": ["Li", "Li", "Tb", "Mg", "Ge", "Ge"], "fractional_positions": [[0.333, 0.667, 0.180], [0.667, 0.333, 0.820], [0.000, 0.000, 0.500], [0.000, 0.000, 0.000], [0.333, 0.667, 0.748], [0.667, 0.333, 0.252]]}

***

Entry 13:
{"formula": "LiTbMgGe2", "functional": "PBE", "state": "relaxed", "dft_energy_ev_per_atom": -3.98, "rho_g_cm3": 5.6, "formation_energy_mev_per_atom": -510, "lattice_angstrom": [[-2.075, 2.075, 5.822], [2.075, -2.075, 5.822], [2.075, 2.075, -5.822]], "species": ["Li", "Tb", "Mg", "Ge", "Ge"], "fractional_positions": [[0.000, 0.000, 0.000], [0.750, 0.250, 0.500], [0.500, 0.500, 0.000], [0.144, 0.644, 0.500], [0.356, 0.856, 0.500]]}

***

Entry 14:
{"formula": "Li2ThMgGe2", "functional": "PBE", "state": "relaxed", "dft_energy_ev_per_atom": -4.20, "rho_g_cm3": 5.9, "formation_energy_mev_per_atom": -523, "lattice_angstrom": [[4.385, 0.000, 0.000], [-2.193, 3.798, 0.000], [0.000, 0.000, 7.013]], "species": ["Li", "Li", "Th", "Mg", "Ge", "Ge"], "fractional_positions": [[0.333, 0.667, 0.163], [0.667, 0.333, 0.837], [0.000, 0.000, 0.500], [0.000, 0.000, 0.000], [0.333, 0.667, 0.753], [0.667, 0.333, 0.247]]}

***

Entry 15:
{"formula": "LiThMgGe2", "functional": "PBE", "state": "relaxed", "dft_energy_ev_per_atom": -4.54, "rho_g_cm3": 6.5, "formation_energy_mev_per_atom": -507, "lattice_angstrom": [[-2.091, 2.091, 5.938], [2.091, -2.091, 5.938], [2.091, 2.091, -5.938]], "species": ["Li", "Th", "Mg", "Ge", "Ge"], "fractional_positions": [[0.000, 0.000, 0.000], [0.750, 0.250, 0.500], [0.500, 0.500, 0.000], [0.143, 0.643, 0.500], [0.357, 0.857, 0.500]]}

***

Entry 16:
{"formula": "LiTmMgGe", "functional": "PBE", "state": "relaxed", "dft_energy_ev_per_atom": -3.42, "rho_g_cm3": 5.7, "formation_energy_mev_per_atom": -272, "lattice_angstrom": [[0.000, 3.421, 3.421], [3.421, 0.000, 3.421], [3.421, 3.421, 0.000]], "species": ["Li", "Tm", "Mg", "Ge"], "fractional_positions": [[0.000, 0.000, 0.000], [0.750, 0.750, 0.750], [0.250, 0.250, 0.250], [0.500, 0.500, 0.500]]}

***

Entry 17:
{"formula": "Li2TmMgGe2", "functional": "PBE", "state": "relaxed", "dft_energy_ev_per_atom": -3.69, "rho_g_cm3": 5.4, "formation_energy_mev_per_atom": -504, "lattice_angstrom": [[4.373, 0.000, 0.000], [-2.186, 3.787, 0.000], [0.000, 0.000, 6.598]], "species": ["Li", "Li", "Tm", "Mg", "Ge", "Ge"], "fractional_positions": [[0.333, 0.667, 0.187], [0.667, 0.333, 0.813], [0.000, 0.000, 0.500], [0.000, 0.000, 0.000], [0.333, 0.667, 0.743], [0.667, 0.333, 0.257]]}

***

Entry 18:
{"formula": "LiMg2VGe", "functional": "PBE", "state": "relaxed", "dft_energy_ev_per_atom": -2.79, "rho_g_cm3": 2.3, "formation_energy_mev_per_atom": 977, "lattice_angstrom": [[5.168, 0.000, 0.000], [0.000, 5.168, 0.000], [0.000, 0.000, 4.750]], "species": ["Li", "Mg", "Mg", "V", "Ge"], "fractional_positions": [[0.000, 0.000, 0.000], [0.000, 0.500, 0.500], [0.500, 0.000, 0.500], [0.000, 0.000, 0.500], [0.500, 0.500, 0.000]]}

***

Entry 19:
{"formula": "LiYMgGe", "functional": "PBE", "state": "relaxed", "dft_energy_ev_per_atom": -3.95, "rho_g_cm3": 3.9, "formation_energy_mev_per_atom": -306, "lattice_angstrom": [[0.000, 3.449, 3.449], [3.449, 0.000, 3.449], [3.449, 3.449, 0.000]], "species": ["Li", "Y", "Mg", "Ge"], "fractional_positions": [[0.000, 0.000, 0.000], [0.750, 0.750, 0.750], [0.250, 0.250, 0.250], [0.500, 0.500, 0.500]]}

***

Entry 20:
{"formula": "LiMgZnGe2", "functional": "PBE", "state": "relaxed", "dft_energy_ev_per_atom": -2.53, "rho_g_cm3": 3.7, "formation_energy_mev_per_atom": 275, "lattice_angstrom": [[4.861, 0.000, 0.000], [0.000, 4.861, 0.000], [0.000, 0.000, 4.608]], "species": ["Li", "Mg", "Zn", "Ge", "Ge"], "fractional_positions": [[0.000, 0.000, 0.000], [0.500, 0.500, 0.000], [0.000, 0.000, 0.500], [0.000, 0.500, 0.500], [0.500, 0.000, 0.500]]}